1.
# NaPrGaPb, relaxed, DFT PBE-GGA
# Uncorrected energy: -3.478 eV per atom
# Crystal system: cubic
data_NaPrGaPb
_chemical_formula_sum 'Na4 Pr4 Ga4 Pb4'
_cell_length_a 7.584
_cell_length_b 7.584
_cell_length_c 7.584
_cell_angle_alpha 90.00
_cell_angle_beta 90.00
_cell_angle_gamma 90.00
_space_group_name_H-M_alt 'F -4 3 m'
_space_group_IT_number 216
_space_group_name_Hall 'F -4 2 3'
loop_
_atom_site_label
_atom_site_fract_x
_atom_site_fract_y
_atom_site_fract_z
Na1 0.000 0.000 0.000
Pr1 0.000 0.000 0.500
Ga1 0.250 0.250 0.250
Pb1 0.250 0.250 0.750

---

2.
# TcAuS2, relaxed, DFT PBE-GGA
# Uncorrected energy: -5.689 eV per atom
# Formation energy without anion corrections: -4.95 kcal/mol of atoms
# Crystal system: trigonal
# Polymorph energy (0 for the lowest one): 0.0 meV/atom
data_TcAuS2
_chemical_formula_sum 'Tc3 Au3 S6'
_cell_length_a 3.4512
_cell_length_b 3.4512
_cell_length_c 22.3227
_cell_angle_alpha 90.00
_cell_angle_beta 90.00
_cell_angle_gamma 120.00
_space_group_name_H-M_alt 'R -3 m'
_space_group_IT_number 166
_space_group_name_Hall '-R 3 2"'
loop_
_atom_site_label
_atom_site_fract_x
_atom_site_fract_y
_atom_site_fract_z
Tc1 0.0000 0.0000 0.0000
Au1 0.0000 0.0000 0.5000
S1 0.0000 0.0000 0.3951

---

3.
# MoI, relaxed, DFT PBE-GGA
# Uncorrected energy: -4.724 eV per atom
# Formation energy without anion corrections: 33.82 kcal/mol of atoms
# Crystal system: cubic
# Polymorph energy (0 for the lowest one): 1213.5 meV/atom
data_MoI
_chemical_formula_sum 'Mo4 I4'
_cell_length_a 6.045
_cell_length_b 6.045
_cell_length_c 6.045
_cell_angle_alpha 90.00
_cell_angle_beta 90.00
_cell_angle_gamma 90.00
_space_group_name_H-M_alt 'F m -3 m'
_space_group_IT_number 225
_space_group_name_Hall '-F 4 2 3'
loop_
_atom_site_label
_atom_site_fract_x
_atom_site_fract_y
_atom_site_fract_z
Mo1 0.000 0.000 0.000
I1 0.000 0.000 0.500

---

4.
# NdErGa, relaxed, DFT PBE-GGA
# Uncorrected energy: -4.237 eV per atom
# Crystal system: hexagonal
# Polymorph energy (0 for the lowest one): 288.1 meV/atom
data_NdErGa
_chemical_formula_sum 'Nd2 Er2 Ga2'
_cell_length_a 4.8897
_cell_length_b 4.8897
_cell_length_c 8.7485
_cell_angle_alpha 90.00
_cell_angle_beta 90.00
_cell_angle_gamma 120.00
_space_group_name_H-M_alt 'P -6 m 2'
_space_group_IT_number 187
_space_group_name_Hall 'P -6 2'
loop_
_atom_site_label
_atom_site_fract_x
_atom_site_fract_y
_atom_site_fract_z
Nd1 0.0000 0.0000 0.2224
Er1 0.3333 0.6667 0.0000
Er2 0.6667 0.3333 0.5000
Ga1 0.3333 0.6667 0.3513

---

5.
# Ca3Tl5Cd, relaxed, DFT PBE-GGA
# Uncorrected energy: -2.355 eV per atom
# Crystal system: hexagonal
# Polymorph energy (0 for the lowest one): 0.0 meV/atom
data_Ca3Tl5Cd
_chemical_formula_sum 'Ca6 Tl10 Cd2'
_cell_length_a 9.4578
_cell_length_b 9.4578
_cell_length_c 6.6205
_cell_angle_alpha 90.00
_cell_angle_beta 90.00
_cell_angle_gamma 120.00
_space_group_name_H-M_alt 'P 63/m c m'
_space_group_IT_number 193
_space_group_name_Hall '-P 6c 2'
loop_
_atom_site_label
_atom_site_fract_x
_atom_site_fract_y
_atom_site_fract_z
Ca1 0.0000 0.3437 0.2500
Tl1 0.0000 0.3186 0.7500
Tl2 0.3333 0.6667 0.0000
Cd1 0.0000 0.0000 0.0000

---

6.
# TmTl2Si2O6, relaxed, DFT PBE-GGA
# Uncorrected energy: -6.743 eV per atom
# Formation energy without anion corrections: -51.11 kcal/mol of atoms
# Crystal system: monoclinic
data_TmTl2Si2O6
_chemical_formula_sum 'Tm2 Tl4 Si4 O12'
_cell_length_a 10.211
_cell_length_b 5.895
_cell_length_c 6.800
_cell_angle_alpha 90.00
_cell_angle_beta 120.09
_cell_angle_gamma 90.00
_space_group_name_H-M_alt 'C 1 2/m 1'
_space_group_IT_number 12
loop_
_space_group_symop_operation_xyz
'x,y,z'
'-x,-y,-z'
'-x,y,-z'
'x,-y,z'
'x+1/2,y+1/2,z'
'-x+1/2,-y+1/2,-z'
'-x+1/2,y+1/2,-z'
'x+1/2,-y+1/2,z'
loop_
_atom_site_label
_atom_site_fract_x
_atom_site_fract_y
_atom_site_fract_z
Tm1 0.000 0.000 0.000
Tl1 0.217 0.000 0.652
Si1 0.074 0.500 0.724
O1 0.014 0.267 0.778
O2 0.248 0.500 0.781

---

7.
# La12TbPb3, relaxed, DFT PBE-GGA
# Uncorrected energy: -4.957 eV per atom
# Crystal system: tetragonal
data_La12TbPb3
_chemical_formula_sum 'La12 Tb1 Pb3'
_cell_length_a 5.091
_cell_length_b 5.091
_cell_length_c 20.623
_cell_angle_alpha 90.00
_cell_angle_beta 90.00
_cell_angle_gamma 90.00
_space_group_name_H-M_alt 'P 4/m m m'
_space_group_IT_number 123
_space_group_name_Hall '-P 4 2'
loop_
_atom_site_label
_atom_site_fract_x
_atom_site_fract_y
_atom_site_fract_z
La1 0.000 0.000 0.000
La2 0.000 0.000 0.246
La3 0.000 0.000 0.500
La4 0.000 0.500 0.123
La5 0.000 0.500 0.371
Tb1 0.500 0.500 0.500
Pb1 0.500 0.500 0.000
Pb2 0.500 0.500 0.246

---

8.
# Ce6Sn2HN, relaxed, DFT PBE-GGA
# Uncorrected energy: -6.246 eV per atom
# Crystal system: cubic
data_Ce6Sn2HN
_chemical_formula_sum 'Ce24 Sn8 H4 N4'
_cell_length_a 9.806
_cell_length_b 9.806
_cell_length_c 9.806
_cell_angle_alpha 90.00
_cell_angle_beta 90.00
_cell_angle_gamma 90.00
_space_group_name_H-M_alt 'F m -3 m'
_space_group_IT_number 225
_space_group_name_Hall '-F 4 2 3'
loop_
_atom_site_label
_atom_site_fract_x
_atom_site_fract_y
_atom_site_fract_z
Ce1 0.000 0.000 0.247
Sn1 0.250 0.250 0.250
H1 0.000 0.000 0.500
N1 0.000 0.000 0.000